Record 1
Below is a relaxed Y4GaCoN2 crystal, with properties calculated at the PBE level.

abc: 3.4913 3.4913 14.2681
angles: 90.00 90.00 120.00
Space group P-6m2 (No. 187)
One atom of each set of equivalent atoms:
Y1 0.0000 0.0000 0.1378 x2
Y2 0.3333 0.6667 0.3322 x2
Ga1 0.0000 0.0000 0.5000 x1
Co1 0.3333 0.6667 0.0000 x1
N1 0.6667 0.3333 0.2413 x2

VASP energy: -7.4124 eV/atom

***

Record 2
Below is a relaxed Zr4GaCoN2 crystal, with properties calculated at the PBE level.

abc: 3.2505 3.2505 13.5755
angles: 90.00 90.00 120.00
Space group P-6m2 (No. 187)
One atom of each set of equivalent atoms:
Zr1 0.0000 0.0000 0.1415 x2
Zr2 0.6667 0.3333 0.3350 x2
Ga1 0.0000 0.0000 0.5000 x1
Co1 0.6667 0.3333 0.0000 x1
N1 0.3333 0.6667 0.2406 x2

VASP energy: -8.5769 eV/atom

***

Record 3
Below is a relaxed NaNbGaCo crystal, with properties calculated at the PBE level.

abc: 6.169 6.169 6.169
angles: 90.00 90.00 90.00
Space group F-43m (No. 216)
One atom of each set of equivalent atoms:
Na1 0.000 0.000 0.000 x4
Nb1 0.250 0.250 0.250 x4
Ga1 0.250 0.250 0.750 x4
Co1 0.000 0.000 0.500 x4

offset from the most stable computed form: 0.0000 eV/atom

***

Record 4
Below is a relaxed NaNbGaCo crystal, with properties calculated at the PBE level.

abc: 6.299 6.299 6.299
angles: 90.00 90.00 90.00
Space group F-43m (No. 216)
One atom of each set of equivalent atoms:
Na1 0.000 0.000 0.000 x4
Nb1 0.000 0.000 0.500 x4
Ga1 0.250 0.250 0.750 x4
Co1 0.250 0.250 0.250 x4

offset from the most stable computed form: 0.1214 eV/atom

***

What is the formula in the fourth record? NaNbGaCo